Entry 1:
Here is a geometry-optimized RbHfAuN2 structure from Alexandria via LeMat-Bulk. Energies are from PBE.

Cell: 4.2235 4.2235 10.4173 Å, 90.00 90.00 90.00°
Space group P4/mmm (No. 123)
Symmetry-distinct sites (fractional):
Rb (0.0000, 0.0000, 0.0000)
Hf (0.0000, 0.0000, 0.5000)
Au (0.5000, 0.5000, 0.0000)
N (0.0000, 0.5000, 0.5000)

Properties
- Theoretical density: 4.4 g cm⁻³
- Formation energy from raw total energies: 0.5930 eV/atom

---

Entry 2:
Here is a geometry-optimized LaPd2Au4 structure from Alexandria via LeMat-Bulk. Energies are from PBE.

Cell: 7.0786 7.0786 5.4814 Å, 90.00 90.00 90.00°
Space group I4/mmm (No. 139)
Symmetry-distinct sites (fractional):
La (0.0000, 0.0000, 0.0000)
Pd (0.0000, 0.5000, 0.2500)
Au (0.1978, 0.1978, 0.5000)

Properties
- Calculated formation energy: -0.5179 eV per atom
- Theoretical density: 13.8 g cm⁻³
- Excess energy over the best structure of this formula in the dataset: 0.000 eV per atom

---

Entry 3:
Here is a geometry-optimized MgGa2Pd2 structure from Alexandria via LeMat-Bulk. Energies are from PBE.

Cell: 7.5247 6.5865 6.8522 Å, 90.00 104.20 90.00°
Space group C2/c (No. 15)
Symmetry-distinct sites (fractional):
Mg (0.0000, 0.1421, 0.2500)
Ga (0.1699, 0.4360, 0.9814)
Pd (0.1526, 0.2215, 0.6593)

Properties
- Calculated formation energy: -0.5940 eV per atom
- Theoretical density: 7.6 g cm⁻³
- Excess energy over the best structure of this formula in the dataset: 0.000 eV per atom

---

Entry 4:
Here is a geometry-optimized ScCuPt structure from Alexandria via LeMat-Bulk. Energies are from PBE.

Cell: 4.7864 7.7815 5.3897 Å, 90.00 90.00 90.00°
Space group Cmcm (No. 63)
Symmetry-distinct sites (fractional):
Sc (0.0000, 0.1546, 0.2500)
Cu (0.0000, 0.5000, 0.0000)
Pt (0.0000, 0.1920, 0.7500)

Properties
- Calculated formation energy: -0.7397 eV per atom
- Theoretical density: 10.0 g cm⁻³
- Excess energy over the best structure of this formula in the dataset: 0.038 eV per atom